The following is a PBE calculation of a relaxed Pr6Rh2AuI3 crystal, from Alexandria via LeMat-Bulk.

Cell lengths 7.4169, 7.4169, 8.5391 Å; angles 98.32, 98.32, 120.00 degrees
Fractional coordinates of all 12 atoms:
Pr 0.5871 0.9370 0.8112
Rh 0.6667 0.3333 0.0000
Pr 0.0630 0.4129 0.1888
Pr 0.9370 0.5871 0.8112
I 0.1653 0.8347 0.5000
I 0.5000 0.5000 0.5000
Rh 0.3333 0.6667 0.0000
Pr 0.7128 0.7128 0.1882
I 0.8347 0.1653 0.5000
Au 0.0000 0.0000 0.0000
Pr 0.2872 0.2872 0.8118
Pr 0.4129 0.0630 0.1888

Properties
For the total energy, the calculation gives -5.187 eV/atom. For the spin magnetization, the calculation gives 0.0 Bohr magnetons per cell.